Computed, not measured: crystalline CsYCuBr5 at its relaxed geometry at the GGA-PBE level of DFT.

Calculated volume: 37.21 A^3/atom
Formation energy from raw total energies: -1.446 eV/atom

a b c (Å): 9.601 12.667 10.650
angles (deg): 90.00 113.19 90.00
Space group C2/c (No. 15)
Asymmetric unit:
Cs  0.000  0.151  0.250 (multiplicity 4)
Y  0.000  0.500  0.000 (multiplicity 4)
Cu  0.000  0.191  0.750 (multiplicity 4)
Br  0.000  0.430  0.250 (multiplicity 4)
Br  0.099  0.296  0.607 (multiplicity 8)
Br  0.201  0.077  0.922 (multiplicity 8)

=====

Computed, not measured: crystalline NaAuI5 at its relaxed geometry at the GGA-PBE level of DFT.

Calculated volume: 54.64 A^3/atom
Formation energy from raw total energies: -0.326 eV/atom

a b c (Å): 13.571 11.604 11.429
angles (deg): 90.00 121.77 90.00
Space group C2/c (No. 15)
Asymmetric unit:
Na  0.000  0.224  0.250 (multiplicity 4)
Au  0.000  0.500  0.000 (multiplicity 4)
I  0.000  0.490  0.250 (multiplicity 4)
I  0.052  0.112  0.033 (multiplicity 8)
I  0.184  0.364  0.116 (multiplicity 8)

=====

Computed, not measured: crystalline Sm3Ag2Au at its relaxed geometry at the GGA-PBE level of DFT.

Calculated volume: 25.27 A^3/atom
Total DFT energy (no corrections): -25.89 eV for the cell shown

a b c (Å): 3.689 3.689 11.140
angles (deg): 90.00 90.00 90.00
Space group P4/mmm (No. 123)
Asymmetric unit:
Sm  0.000  0.000  0.000 (multiplicity 1)
Sm  0.000  0.000  0.338 (multiplicity 2)
Ag  0.500  0.500  0.166 (multiplicity 2)
Au  0.500  0.500  0.500 (multiplicity 1)

=====

Computed, not measured: crystalline CaPr3Y6 at its relaxed geometry at the GGA-PBE level of DFT.

Calculated volume: 37.23 A^3/atom
Total DFT energy (no corrections): -105.27 eV for the cell shown

a b c (Å): 18.261 6.985 6.040
angles (deg): 90.00 104.86 90.00
Space group C2/m (No. 12)
Asymmetric unit:
Ca  0.000  0.000  0.000 (multiplicity 2)
Pr  0.000  0.500  0.500 (multiplicity 2)
Pr  0.146  0.000  0.599 (multiplicity 4)
Y  0.168  0.262  0.097 (multiplicity 8)
Y  0.187  0.500  0.600 (multiplicity 4)

=====

Computed, not measured: crystalline Pm4TlPd5 at its relaxed geometry at the GGA-PBE level of DFT.

Calculated volume: 22.68 A^3/atom
Total DFT energy (no corrections): -53.94 eV for the cell shown

a b c (Å): 3.584 3.584 17.654
angles (deg): 90.00 90.00 90.00
Space group P4/mmm (No. 123)
Asymmetric unit:
Pm  0.000  0.000  0.103 (multiplicity 2)
Pm  0.000  0.000  0.310 (multiplicity 2)
Tl  0.000  0.000  0.500 (multiplicity 1)
Pd  0.500  0.500  0.000 (multiplicity 1)
Pd  0.500  0.500  0.205 (multiplicity 2)
Pd  0.500  0.500  0.405 (multiplicity 2)

=====

Computed, not measured: crystalline Ti2Ga2Rh at its relaxed geometry at the GGA-PBE level of DFT.

Offset from the most stable computed form: 0 meV per atom
Calculated volume: 15.77 A^3/atom

a b c (Å): 6.471 6.471 7.530
angles (deg): 90.00 90.00 90.00
Space group P4/mnc (No. 128)
Asymmetric unit:
Ti  0.167  0.331  0.000 (multiplicity 8)
Ga  0.137  0.637  0.250 (multiplicity 8)
Rh  0.000  0.000  0.303 (multiplicity 4)

=====

Question: Which value of calculated volume does entry 5 give?
Answer: 22.68 A^3/atom

=====

Question: calculated volume of number 1 (CsYCuBr5)?
Answer: 37.21 A^3/atom

=====

Question: Which value of calculated volume does entry 2 give?
Answer: 54.64 A^3/atom

=====

Question: Among the records above, which one has the highest calculated volume?
Answer: NaAuI5